--- P ---
The following is a DFT calculation (PBE) of a relaxed TaBeInOs crystal.

Values from the calculation:
- Total magnetization: 0.00 μB/f.u.

Cell and atoms, written as CIF:
```
data_TaBeInOs
_chemical_formula_sum 'Ta1 Be1 In1 Os1'
_cell_length_a 4.457
_cell_length_b 4.457
_cell_length_c 4.457
_cell_angle_alpha 60.00
_cell_angle_beta 60.00
_cell_angle_gamma 60.00
_symmetry_space_group_name_H-M 'P 1'
_symmetry_Int_Tables_number 1
loop_
_symmetry_equiv_pos_as_xyz
'x,y,z'
loop_
_atom_site_label
_atom_site_fract_x
_atom_site_fract_y
_atom_site_fract_z
Ta1 0.000 0.000 0.000
Be1 0.500 0.500 0.500
In1 0.750 0.750 0.750
Os1 0.250 0.250 0.250
```


--- Q ---
The following is a DFT calculation (PBE) of a relaxed TaBeInOs crystal.

Values from the calculation:
- Total magnetization: 0.00 μB/f.u.

Cell and atoms, written as CIF:
```
data_TaBeInOs
_chemical_formula_sum 'Ta1 Be1 In1 Os1'
_cell_length_a 4.448
_cell_length_b 4.448
_cell_length_c 4.448
_cell_angle_alpha 60.00
_cell_angle_beta 60.00
_cell_angle_gamma 60.00
_symmetry_space_group_name_H-M 'P 1'
_symmetry_Int_Tables_number 1
loop_
_symmetry_equiv_pos_as_xyz
'x,y,z'
loop_
_atom_site_label
_atom_site_fract_x
_atom_site_fract_y
_atom_site_fract_z
Ta1 0.000 0.000 0.000
Be1 0.750 0.750 0.750
In1 0.250 0.250 0.250
Os1 0.500 0.500 0.500
```


--- R ---
The following is a DFT calculation (PBE) of a relaxed TaBeInOs crystal.

Values from the calculation:
- Total magnetization: 0.00 μB/f.u.

Cell and atoms, written as CIF:
```
data_TaBeInOs
_chemical_formula_sum 'Ta1 Be1 In1 Os1'
_cell_length_a 4.453
_cell_length_b 4.453
_cell_length_c 4.453
_cell_angle_alpha 60.00
_cell_angle_beta 60.00
_cell_angle_gamma 60.00
_symmetry_space_group_name_H-M 'P 1'
_symmetry_Int_Tables_number 1
loop_
_symmetry_equiv_pos_as_xyz
'x,y,z'
loop_
_atom_site_label
_atom_site_fract_x
_atom_site_fract_y
_atom_site_fract_z
Ta1 0.000 0.000 0.000
Be1 0.750 0.750 0.750
In1 0.500 0.500 0.500
Os1 0.250 0.250 0.250
```


The structures above, arranged from the most stable to the least stable: R, P, Q.